Here is a relaxed structure of LaFeNO2 from Alexandria. Energies are from GGA+U.

Geometry as POSCAR:
```
LaFeNO2
1.0
3.9301 0.0000 0.0000
0.0000 3.9301 0.0000
0.0000 0.0000 3.8955
O Fe La N
2 1 1 1
Cartesian
1.9650 0.0000 0.0000
0.0000 1.9650 0.0000
0.0000 0.0000 0.0000
1.9650 1.9650 1.9478
0.0000 0.0000 1.9478
```

Results
**Fermi-level density of states**: 0.2631 states/eV/atom
**Total magnetic moment**: 0.801 μB per atom
**Calculated volume**: 12.03 A^3/atom
**Raw total energy**: -7.323 eV per atom